Record 1
Material: ScTiP2N
Method: DFT, PBE-GGA
State: optimized geometry

Output
calculated total energy = -6.885 eV per atom
space group = No. 123
E_form (uncorrected) = -0.210 eV per atom

a b c (Å): 4.7777 3.8030 4.7777
angles (deg): 90.00 90.00 90.00
Closest atoms and distances in Å follow each position.
Element x y z (fractional)
N 0.0000 0.5000 0.0000  2 Ti 1.90
P 0.5000 0.0000 0.0000  2 Ti 2.39
Ti 0.0000 0.0000 0.0000  2 N 1.90
P 0.0000 0.0000 0.5000  2 Ti 2.39
Sc 0.5000 0.5000 0.5000  8 P 3.05, 4 N 3.38

***

Record 2
Material: Y3Ho2ErS6
Method: DFT, PBE-GGA
State: optimized geometry

Output
calculated total energy = -6.808 eV per atom
space group = No. 12
E_form (uncorrected) = -1.986 eV per atom

a b c (Å): 6.7539 6.7539 6.7552
angles (deg): 99.55 99.55 120.21
Closest atoms and distances in Å follow each position.
Element x y z (fractional)
S 0.0819 0.4139 0.2460  1 Er 2.73, 2 Ho 2.74, 3 Y 2.76-2.77
Ho 0.3332 0.6668 0.0000  6 S 2.74-2.75
Y 0.8326 0.1674 0.5000  6 S 2.76-2.77
S 0.7501 0.7501 0.2466  1 Er 2.73, 2 Ho 2.75, 3 Y 2.77
Ho 0.6668 0.3332 0.0000  6 S 2.74-2.75
S 0.9181 0.5861 0.7540  1 Er 2.73, 2 Ho 2.74, 3 Y 2.76-2.77
Y 0.5000 0.5000 0.5000  6 S 2.77
Er 0.0000 0.0000 0.0000  6 S 2.73
S 0.4139 0.0819 0.2460  1 Er 2.73, 2 Ho 2.74, 3 Y 2.76-2.77
S 0.2499 0.2499 0.7534  1 Er 2.73, 2 Ho 2.75, 3 Y 2.77
S 0.5861 0.9181 0.7540  1 Er 2.73, 2 Ho 2.74, 3 Y 2.76-2.77
Y 0.1674 0.8326 0.5000  6 S 2.76-2.77

***

Record 3
Material: Tl2HgW
Method: DFT, PBE-GGA
State: optimized geometry

Output
calculated total energy = -3.506 eV per atom
space group = No. 119
DFT formation energy = 0.99 eV per atom

a b c (Å): 5.7479 5.7479 5.7479
angles (deg): 137.21 137.21 62.11
Closest atoms and distances in Å follow each position.
Element x y z (fractional)
Tl 0.0000 0.0000 0.0000  4 W 2.97, 4 Hg 3.23, 4 Tl 3.23
Tl 0.2500 0.7500 0.5000  4 Hg 2.97, 4 Tl 3.23, 4 W 3.23
W 0.5000 0.5000 0.0000  8 Tl 2.97-3.23, 4 Hg 3.23
Hg 0.7500 0.2500 0.5000  8 Tl 2.97-3.23, 4 W 3.23

***

Record 4
Material: Co3P
Method: DFT, PBE-GGA
State: optimized geometry

Output
calculated total energy = -6.775 eV per atom
space group = No. 123
DFT formation energy = -0.09 eV per atom

a b c (Å): 2.6609 2.6609 6.1205
angles (deg): 90.00 90.00 90.01
Closest atoms and distances in Å follow each position.
Element x y z (fractional)
Co 0.0000 0.0000 0.0338  4 P 2.30, 4 Co 2.56
Co 0.5000 0.5000 0.7500  12 Co 2.56-2.66
P 0.5000 0.5000 0.2500  8 Co 2.30
Co 0.0000 0.0000 0.4662  4 P 2.30, 4 Co 2.56

***

Record 5
Material: CsYRe3
Method: DFT, PBE-GGA
State: optimized geometry

Output
calculated total energy = -5.666 eV per atom
space group = No. 221
DFT formation energy = 3.27 eV per atom

a b c (Å): 4.9245 4.9245 4.9245
angles (deg): 90.00 90.00 90.00
Closest atoms and distances in Å follow each position.
Element x y z (fractional)
Cs 0.0000 0.0000 0.0000  6 Re 2.46
Y 0.5000 0.5000 0.5000  12 Re 3.48
Re 0.5000 0.0000 0.0000  2 Cs 2.46
Re 0.0000 0.5000 0.0000  2 Cs 2.46
Re 0.0000 0.0000 0.5000  2 Cs 2.46

***

Record 6
Material: MgRuO3
Method: DFT, PBE-GGA
State: optimized geometry

Output
calculated total energy = -6.383 eV per atom
space group = No. 6
E_form (uncorrected) = -1.234 eV per atom

a b c (Å): 2.7561 5.4042 5.4005
angles (deg): 59.96 89.99 89.99
Closest atoms and distances in Å follow each position.
Element x y z (fractional)
Mg 0.2202 0.4328 0.3952  6 O 2.11-2.12
O 0.7201 0.2620 0.2233  2 Ru 2.05, 2 Mg 2.11
Ru 0.2202 0.0994 0.0623  6 O 2.05
O 0.7202 0.2606 0.7387  2 Ru 2.05, 2 Mg 2.12
O 0.7202 0.7758 0.2246  2 Ru 2.05, 2 Mg 2.12

***

Record 7
Material: FeReSCl2
Method: DFT, PBE-GGA
State: optimized geometry

Output
calculated total energy = -4.844 eV per atom
space group = No. 123
E_form (uncorrected) = 0.902 eV per atom

a b c (Å): 4.4429 4.4429 5.2963
angles (deg): 90.00 90.00 90.00
Closest atoms and distances in Å follow each position.
Element x y z (fractional)
Re 0.5000 0.5000 0.5000  4 S 3.14, 8 Cl 3.46
Fe 0.0000 0.0000 0.0000  4 Cl 2.22
Cl 0.0000 0.5000 0.0000  2 Fe 2.22
S 0.0000 0.0000 0.5000  2 Fe 2.65
Cl 0.5000 0.0000 0.0000  2 Fe 2.22

***

Record 8
Material: Ba3CS
Method: DFT, PBE-GGA
State: optimized geometry

Output
calculated total energy = -3.933 eV per atom
space group = No. 221
E_form (uncorrected) = -0.109 eV per atom

a b c (Å): 5.5962 5.5962 5.5962
angles (deg): 90.00 90.00 90.00
Closest atoms and distances in Å follow each position.
Element x y z (fractional)
S 0.5000 0.5000 0.5000  12 Ba 3.96
Ba 0.0000 0.5000 0.0000  2 C 2.80
Ba 0.0000 0.0000 0.5000  2 C 2.80
C 0.0000 0.0000 0.0000  6 Ba 2.80
Ba 0.5000 0.0000 0.0000  2 C 2.80

***

Record 9
Material: NaMoCl2
Method: DFT, PBE-GGA
State: optimized geometry

Output
calculated total energy = -4.230 eV per atom
space group = No. 166
E_form (uncorrected) = -0.269 eV per atom

a b c (Å): 10.2532 10.2532 10.2532
angles (deg): 18.20 18.20 18.20
Closest atoms and distances in Å follow each position.
Element x y z (fractional)
Cl 0.1113 0.1113 0.1113  3 Mo 2.51
Na 0.0000 0.0000 0.0000  6 Na 3.24, 2 Cl 3.37
Mo 0.5000 0.5000 0.5000  6 Cl 2.51
Cl 0.8887 0.8887 0.8887  3 Mo 2.51

***

Record 10
Material: Ni2Ru2Pb
Method: DFT, PBE-GGA
State: optimized geometry

Output
calculated total energy = -6.299 eV per atom
space group = No. 127
DFT formation energy = 0.47 eV per atom

a b c (Å): 7.0997 7.0997 3.0259
angles (deg): 90.00 90.00 90.00
Closest atoms and distances in Å follow each position.
Element x y z (fractional)
Ru 0.6254 0.1254 0.0000  1 Ru 2.52, 6 Ni 2.58, 2 Pb 2.80
Ru 0.8746 0.6254 0.0000  1 Ru 2.52, 6 Ni 2.58, 2 Pb 2.80
Ru 0.1254 0.3746 0.0000  1 Ru 2.52, 6 Ni 2.58, 2 Pb 2.80
Ni 0.6663 0.8337 0.5000  6 Ru 2.58
Pb 0.0000 0.0000 0.0000  4 Ru 2.80, 2 Pb 3.03, 8 Ni 3.05
Ni 0.3337 0.1663 0.5000  6 Ru 2.58
Pb 0.5000 0.5000 0.0000  4 Ru 2.80, 2 Pb 3.03, 8 Ni 3.05
Ni 0.1663 0.6663 0.5000  6 Ru 2.58
Ni 0.8337 0.3337 0.5000  6 Ru 2.58
Ru 0.3746 0.8746 0.0000  1 Ru 2.52, 6 Ni 2.58, 2 Pb 2.80

***

Record 11
Material: Li2MoRh
Method: DFT, PBE-GGA
State: optimized geometry

Output
calculated total energy = -5.414 eV per atom
space group = No. 99
DFT formation energy = 0.09 eV per atom

a b c (Å): 2.8553 2.8553 7.4905
angles (deg): 90.00 90.00 90.00
Closest atoms and distances in Å follow each position.
Element x y z (fractional)
Mo 0.0000 0.0000 0.5301  4 Rh 2.62, 4 Mo 2.86
Rh 0.5000 0.5000 0.7529  4 Li 2.61, 4 Mo 2.62, 4 Rh 2.86
Li 0.5000 0.5000 0.2433  8 Li 2.86, 4 Mo 2.95
Li 0.0000 0.0000 0.9737  4 Rh 2.61, 8 Li 2.86

***

Record 12
Material: Tl2MoRu
Method: DFT, PBE-GGA
State: optimized geometry

Output
calculated total energy = -5.269 eV per atom
space group = No. 216
DFT formation energy = 0.94 eV per atom

a b c (Å): 4.7871 4.7871 4.7871
angles (deg): 60.00 60.00 60.00
Closest atoms and distances in Å follow each position.
Element x y z (fractional)
Mo 0.5000 0.5000 0.5000  4 Ru 2.93, 4 Tl 2.93
Tl 0.2500 0.2500 0.2500  4 Tl 2.93, 4 Mo 2.93
Ru 0.7500 0.7500 0.7500  4 Mo 2.93, 4 Tl 2.93
Tl 0.0000 0.0000 0.0000  4 Tl 2.93, 4 Ru 2.93

***

Number 1: ρ 3.2 g/cm3. Number 2: ρ 6.3 g/cm3. Number 3: ρ 15.2 g/cm3. Number 4: ρ 8.0 g/cm3. Number 5: ρ 10.9 g/cm3. Number 6: ρ 4.1 g/cm3. Number 7: ρ 5.5 g/cm3. Number 8: ρ 4.3 g/cm3. Number 9: ρ 3.4 g/cm3. Number 10: ρ 11.5 g/cm3. Number 11: ρ 5.8 g/cm3. Number 12: ρ 13.0 g/cm3.